(1)
Entry from Alexandria via LeMat-Bulk: PuCdBO5 after structural relaxation (PBE).

total moment: 6.00 Bohr magnetons per cell
SG: C2/c
uncorrected formation energy: -2134 meV per atom
calculated volume: 12.76 Å³/atom

Cell lengths 5.451, 5.451, 7.730 Å; angles 104.34, 104.34, 103.93 degrees
Site moments in Bohr magnetons follow the coordinates.
Positions (direct):
O 0.900 0.100 0.750  -0.12
O 0.259 0.416 0.610  -0.07
O 0.113 0.683 0.851  -0.08
O 0.100 0.900 0.250  -0.12
O 0.416 0.259 0.110  -0.07
O 0.584 0.741 0.890  -0.07
O 0.683 0.113 0.351  -0.08
O 0.317 0.887 0.649  -0.08
O 0.887 0.317 0.149  -0.08
O 0.741 0.584 0.390  -0.07
Pu 0.000 0.000 0.000  3.43
Pu 0.000 0.000 0.500  3.43
B 0.315 0.685 0.750  0.01
B 0.685 0.315 0.250  0.01
Cd 0.647 0.353 0.750  0.00
Cd 0.353 0.647 0.250  0.00


(2)
Entry from Alexandria via LeMat-Bulk: RbCd2B2O6 after structural relaxation (PBE).

total moment: 0.00 Bohr magnetons per cell
SG: P-1
uncorrected formation energy: -1681 meV per atom
calculated volume: 16.92 Å³/atom

Cell lengths 5.810, 6.612, 5.652 Å; angles 111.39, 86.08, 70.57 degrees
Positions (direct):
Cd 0.781 0.460 0.811
Cd 0.219 0.540 0.189
Rb 0.500 0.000 0.500
B 0.758 0.332 0.231
B 0.242 0.668 0.769
O 0.783 0.249 0.419
O 0.380 0.732 0.956
O 0.620 0.268 0.044
O 0.217 0.751 0.581
O 0.858 0.491 0.208
O 0.142 0.509 0.792


(3)
Entry from Alexandria via LeMat-Bulk: Rb3CdB2O6 after structural relaxation (PBE).

total moment: 1.01 Bohr magnetons per cell
SG: P-3m1
uncorrected formation energy: -1802 meV per atom
calculated volume: 17.04 Å³/atom

Cell lengths 5.740, 5.740, 7.168 Å; angles 90.00, 90.00, 120.00 degrees
Site moments in Bohr magnetons follow the coordinates.
Positions (direct):
Rb 0.667 0.333 0.269  0.00
Rb 0.333 0.667 0.731  0.00
Rb 0.000 0.000 0.000  0.00
O 0.613 0.806 0.301  0.14
O 0.806 0.194 0.699  0.14
O 0.194 0.806 0.301  0.14
O 0.194 0.387 0.301  0.14
O 0.806 0.613 0.699  0.14
O 0.387 0.194 0.699  0.14
Cd 0.000 0.000 0.500  0.00
B 0.333 0.667 0.304  -0.01
B 0.667 0.333 0.696  -0.01


(4)
Entry from Alexandria via LeMat-Bulk: Rb2Cd3B16O28 after structural relaxation (PBE).

total moment: 0.00 Bohr magnetons per cell
SG: C2/c
uncorrected formation energy: -2283 meV per atom
calculated volume: 11.69 Å³/atom

Cell lengths 11.575, 11.575, 13.516 Å; angles 88.54, 88.54, 39.26 degrees
Positions (direct):
O 0.739 0.952 0.424
O 0.825 0.674 0.856
O 0.827 0.328 0.711
O 0.323 0.831 0.874
O 0.685 0.193 0.459
O 0.328 0.827 0.211
O 0.403 0.270 0.747
O 0.281 0.399 0.583
O 0.118 0.209 0.732
O 0.876 0.985 0.988
O 0.315 0.807 0.541
O 0.261 0.048 0.576
O 0.952 0.739 0.924
O 0.270 0.403 0.247
O 0.978 0.865 0.151
O 0.674 0.825 0.356
O 0.169 0.677 0.626
O 0.022 0.135 0.849
O 0.672 0.173 0.789
O 0.209 0.118 0.232
O 0.985 0.890 0.822
O 0.985 0.876 0.488
O 0.730 0.597 0.753
O 0.791 0.882 0.768
O 0.389 0.479 0.155
O 0.491 0.374 0.985
O 0.110 0.015 0.678
O 0.597 0.730 0.253
O 0.399 0.281 0.083
O 0.326 0.175 0.644
O 0.865 0.978 0.651
O 0.124 0.015 0.012
O 0.626 0.509 0.515
O 0.479 0.389 0.655
O 0.173 0.672 0.289
O 0.611 0.521 0.845
O 0.831 0.323 0.374
O 0.633 0.515 0.178
O 0.882 0.791 0.268
O 0.807 0.315 0.041
O 0.015 0.110 0.178
O 0.521 0.611 0.345
O 0.485 0.367 0.322
O 0.515 0.633 0.678
O 0.677 0.169 0.126
O 0.135 0.022 0.349
O 0.890 0.985 0.322
O 0.048 0.261 0.076
O 0.193 0.685 0.959
O 0.509 0.626 0.015
O 0.015 0.124 0.512
O 0.175 0.326 0.144
O 0.601 0.719 0.917
O 0.367 0.485 0.822
O 0.719 0.601 0.417
O 0.374 0.491 0.485
B 0.997 0.178 0.079
B 0.822 0.003 0.421
B 0.334 0.286 0.660
B 0.854 0.770 0.847
B 0.324 0.485 0.253
B 0.146 0.230 0.153
B 0.979 0.828 0.259
B 0.666 0.714 0.340
B 0.349 0.512 0.923
B 0.676 0.515 0.747
B 0.286 0.334 0.160
B 0.160 0.994 0.912
B 0.487 0.328 0.087
B 0.714 0.666 0.840
B 0.512 0.349 0.423
B 0.172 0.021 0.241
B 0.488 0.651 0.577
B 0.651 0.488 0.077
B 0.021 0.172 0.741
B 0.178 0.997 0.579
B 0.485 0.324 0.753
B 0.770 0.854 0.347
B 0.328 0.487 0.587
B 0.828 0.979 0.759
B 0.003 0.822 0.921
B 0.672 0.513 0.413
B 0.006 0.840 0.588
B 0.994 0.160 0.412
B 0.230 0.146 0.653
B 0.515 0.676 0.247
B 0.840 0.006 0.088
B 0.513 0.672 0.913
Rb 0.781 0.719 0.094
Rb 0.281 0.219 0.406
Rb 0.219 0.281 0.906
Rb 0.719 0.781 0.594
Cd 0.743 0.257 0.250
Cd 0.242 0.756 0.398
Cd 0.756 0.242 0.898
Cd 0.244 0.758 0.102
Cd 0.758 0.244 0.602
Cd 0.257 0.743 0.750


no.,Fermi-level density of states (states/eV/f.u.)
1,6.654
2,3.776
3,5.835
4,0.000